P | A geometry-optimized UBIr structure, computed with PBE.

Lattice parameters (Å, degrees): 4.3334 4.3334 4.3334 60.00 60.00 60.00
Atoms (fractional coordinates):
U: 0.0000 0.0000 0.0000
B: 0.2500 0.2500 0.2500
Ir: 0.7500 0.7500 0.7500



Q | A geometry-optimized UBIr structure, computed with PBE.

Lattice parameters (Å, degrees): 4.2979 4.2979 4.2979 60.00 60.00 60.00
Atoms (fractional coordinates):
U: 0.0000 0.0000 0.0000
B: 0.5000 0.5000 0.5000
Ir: 0.7500 0.7500 0.7500



R | A geometry-optimized UBIr structure, computed with PBE.

Lattice parameters (Å, degrees): 4.0851 4.0851 4.0851 60.00 60.00 60.00
Atoms (fractional coordinates):
U: 0.0000 0.0000 0.0000
B: 0.2500 0.2500 0.2500
Ir: 0.5000 0.5000 0.5000



The structure with the greatest stability is R.



P | A geometry-optimized YBIr structure, computed with PBE.

Lattice parameters (Å, degrees): 4.4076 4.4076 4.4076 60.00 60.00 60.00
Atoms (fractional coordinates):
Y: 0.0000 0.0000 0.0000
B: 0.7500 0.7500 0.7500
Ir: 0.2500 0.2500 0.2500



Q | A geometry-optimized YBIr structure, computed with PBE.

Lattice parameters (Å, degrees): 4.1288 4.1288 4.1288 60.00 60.00 60.00
Atoms (fractional coordinates):
Y: 0.0000 0.0000 0.0000
B: 0.7500 0.7500 0.7500
Ir: 0.5000 0.5000 0.5000



The structure with the greatest stability is Q.



P | A geometry-optimized KNaB2Pt6 structure, computed with PBE.

Lattice parameters (Å, degrees): 5.6771 5.6771 5.5788 90.00 90.00 120.00
Atoms (fractional coordinates):
K: 0.0000 0.0000 0.0000
Na: 0.0000 0.0000 0.5000
B: 0.3333 0.6667 0.0000
B: 0.6667 0.3333 0.0000
Pt: 0.0000 0.5000 0.2583
Pt: 0.0000 0.5000 0.7417
Pt: 0.5000 0.0000 0.2583
Pt: 0.5000 0.0000 0.7417
Pt: 0.5000 0.5000 0.2583
Pt: 0.5000 0.5000 0.7417



Q | A geometry-optimized KNaB2Pt6 structure, computed with PBE.

Lattice parameters (Å, degrees): 5.6895 5.6895 5.5892 90.00 90.00 120.00
Atoms (fractional coordinates):
K: 0.0000 0.0000 0.0000
Na: 0.0000 0.0000 0.5000
B: 0.3333 0.6667 0.5000
B: 0.6667 0.3333 0.5000
Pt: 0.0000 0.5000 0.2459
Pt: 0.0000 0.5000 0.7541
Pt: 0.5000 0.0000 0.2459
Pt: 0.5000 0.0000 0.7541
Pt: 0.5000 0.5000 0.2459
Pt: 0.5000 0.5000 0.7541



The structure with the greatest stability is P.



P | A geometry-optimized KNbB4 structure, computed with PBE.

Lattice parameters (Å, degrees): 3.0817 3.0817 8.3775 90.00 90.00 120.00
Atoms (fractional coordinates):
K: 0.0000 0.0000 0.0000
Nb: 0.0000 0.0000 0.5000
B: 0.3333 0.6667 0.3006
B: 0.3333 0.6667 0.6994
B: 0.6667 0.3333 0.3006
B: 0.6667 0.3333 0.6994



Q | A geometry-optimized KNbB4 structure, computed with PBE.

Lattice parameters (Å, degrees): 4.9655 4.9655 4.9655 144.14 110.07 81.17
Atoms (fractional coordinates):
K: 0.0000 0.0000 0.0000
Nb: 0.5000 0.5000 0.0000
B: 0.0895 0.7636 0.3258
B: 0.4378 0.7636 0.6742
B: 0.5622 0.2364 0.3258
B: 0.9105 0.2364 0.6742



The structure with the greatest stability is P.